[1]
# Cd3Fe

A geometry-optimized Cd3Fe structure (GGA-PBE, Alexandria via LeMat-Bulk).

The calculation puts the total magnetic moment at 2.814 μB per formula unit. As for the formation enthalpy at 0 K: 0.240 eV per atom. For the mass density, the calculation gives 8.363 Mg/m³.

It has space group R-3m (No. 166, hexagonal axes), with a = 2.9479 Å, b = 2.9479 Å, c = 31.1124 Å, α = 90.00°, β = 90.00° and γ = 120.00°. Symmetry generates all atoms from Cd at (0.0000, 0.0000, 0.0000), Cd at (0.0000, 0.0000, 0.2395) and Fe at (0.0000, 0.0000, 0.5000).

[2]
# Cd3Fe

A geometry-optimized Cd3Fe structure (GGA-PBE, Alexandria via LeMat-Bulk).

The calculation puts the total magnetic moment at 2.603 μB per formula unit. As for the formation enthalpy at 0 K: 0.231 eV per atom. For the mass density, the calculation gives 8.585 Mg/m³.

It has space group P-6m2 (No. 187), with a = 3.0137 Å, b = 3.0137 Å, c = 9.6662 Å, α = 90.00°, β = 90.00° and γ = 120.00°. Symmetry generates all atoms from Cd at (0.0000, 0.0000, 0.0000), Cd at (0.6667, 0.3333, 0.2727) and Fe at (0.0000, 0.0000, 0.5000).

[3]
# CdGaFe2

A geometry-optimized CdGaFe2 structure (GGA-PBE, Alexandria via LeMat-Bulk).

The calculation puts the total magnetic moment at 4.773 μB per formula unit. As for the formation enthalpy at 0 K: 0.504 eV per atom. For the mass density, the calculation gives 7.427 Mg/m³.

It has space group I-42d (No. 122), with a = 3.805 Å, b = 3.805 Å, c = 18.150 Å, α = 90.00°, β = 90.00° and γ = 90.00°. Symmetry generates all atoms from Cd at (0.000, 0.000, 0.000), Ga at (0.000, 0.000, 0.500) and Fe at (0.208, 0.250, 0.625).

[4]
# CdGaFe

A geometry-optimized CdGaFe structure (GGA-PBE, Alexandria via LeMat-Bulk).

The calculation puts the total magnetic moment at 1.423 μB per formula unit. As for the formation enthalpy at 0 K: 0.039 eV per atom. For the mass density, the calculation gives 7.365 Mg/m³.

It has space group Pmmm (No. 47), with a = 2.718 Å, b = 4.143 Å, c = 4.766 Å, α = 90.00°, β = 90.00° and γ = 90.00°. Symmetry generates all atoms from Cd at (0.000, 0.000, 0.000), Ga at (0.000, 0.500, 0.500) and Fe at (0.500, 0.000, 0.500).

[5]
# Cd2GaFe2

A geometry-optimized Cd2GaFe2 structure (GGA-PBE, Alexandria via LeMat-Bulk).

The calculation puts the total magnetic moment at 3.606 μB per formula unit. As for the formation enthalpy at 0 K: 0.183 eV per atom. For the mass density, the calculation gives 8.213 Mg/m³.

It has space group P4/mbm (No. 127), with a = 6.141 Å, b = 6.141 Å, c = 4.356 Å, α = 90.00°, β = 90.00° and γ = 90.00°. Symmetry generates all atoms from Cd at (0.170, 0.330, 0.000), Ga at (0.000, 0.000, 0.500) and Fe at (0.131, 0.631, 0.500).

[6]
# Cd2GaFe

A geometry-optimized Cd2GaFe structure (GGA-PBE, Alexandria via LeMat-Bulk).

The calculation puts the total magnetic moment at 2.612 μB per formula unit. For the energy above the most stable polymorph in this dataset, the calculation gives 0.023 eV/atom. As for the formation enthalpy at 0 K: 0.461 eV per atom. For the mass density, the calculation gives 7.299 Mg/m³.

It has space group I-42d (No. 122), with a = 7.654 Å, b = 7.654 Å, c = 5.442 Å, α = 90.00°, β = 90.00° and γ = 90.00°. Symmetry generates all atoms from Cd at (0.239, 0.250, 0.125), Ga at (0.000, 0.000, 0.500) and Fe at (0.000, 0.000, 0.000).

[7]
# Cd2GaFe

A geometry-optimized Cd2GaFe structure (GGA-PBE, Alexandria via LeMat-Bulk).

The calculation puts the total magnetic moment at 3.027 μB per formula unit. For the energy above the most stable polymorph in this dataset, the calculation gives 0.000 eV/atom. As for the formation enthalpy at 0 K: 0.438 eV per atom. For the mass density, the calculation gives 7.471 Mg/m³.

It has space group R-3m (No. 166, hexagonal axes), with a = 2.9170 Å, b = 2.9170 Å, c = 31.7028 Å, α = 90.00°, β = 90.00° and γ = 120.00°. Symmetry generates all atoms from Cd at (0.0000, 0.0000, 0.0848), Ga at (0.0000, 0.0000, 0.5000) and Fe at (0.0000, 0.0000, 0.0000).

[8]
# CdGa2FeGe

A geometry-optimized CdGa2FeGe structure (GGA-PBE, Alexandria via LeMat-Bulk).

The calculation puts the total magnetic moment at 0.001 μB per formula unit. As for the formation enthalpy at 0 K: 0.050 eV per atom. For the mass density, the calculation gives 6.340 Mg/m³.

It has space group P4/mmm (No. 123), with a = 4.698 Å, b = 4.698 Å, c = 4.513 Å, α = 90.00°, β = 90.00° and γ = 90.00°. Symmetry generates all atoms from Cd at (0.000, 0.000, 0.000), Ga at (0.000, 0.500, 0.500), Fe at (0.500, 0.500, 0.500) and Ge at (0.500, 0.500, 0.000).

[9]
# HfCdGa2Fe

A geometry-optimized HfCdGa2Fe structure (GGA-PBE, Alexandria via LeMat-Bulk).

The calculation puts the total magnetic moment at 1.885 μB per formula unit. As for the formation enthalpy at 0 K: 0.885 eV per atom. For the mass density, the calculation gives 6.585 Mg/m³.

It has space group P4/mmm (No. 123), with a = 5.160 Å, b = 5.160 Å, c = 4.605 Å, α = 90.00°, β = 90.00° and γ = 90.00°. Symmetry generates all atoms from Hf at (0.000, 0.000, 0.000), Cd at (0.500, 0.500, 0.500), Ga at (0.000, 0.500, 0.000) and Fe at (0.000, 0.000, 0.500).

[10]
# KCdGa2Fe

A geometry-optimized KCdGa2Fe structure (GGA-PBE, Alexandria via LeMat-Bulk).

The calculation puts the total magnetic moment at 0.389 μB per formula unit. As for the formation enthalpy at 0 K: -0.012 eV per atom. For the mass density, the calculation gives 5.080 Mg/m³.

It has space group P4/mmm (No. 123), with a = 4.688 Å, b = 4.688 Å, c = 5.157 Å, α = 90.00°, β = 90.00° and γ = 90.00°. Symmetry generates all atoms from K at (0.000, 0.000, 0.000), Cd at (0.500, 0.500, 0.000), Ga at (0.000, 0.500, 0.500) and Fe at (0.500, 0.500, 0.500).

[11]
# NaCdGa2Fe

A geometry-optimized NaCdGa2Fe structure (GGA-PBE, Alexandria via LeMat-Bulk).

The calculation puts the total magnetic moment at 0.082 μB per formula unit. As for the formation enthalpy at 0 K: 0.011 eV per atom. For the mass density, the calculation gives 5.128 Mg/m³.

It has space group P4/mmm (No. 123), with a = 4.600 Å, b = 4.600 Å, c = 5.060 Å, α = 90.00°, β = 90.00° and γ = 90.00°. Symmetry generates all atoms from Na at (0.000, 0.000, 0.000), Cd at (0.500, 0.500, 0.000), Ga at (0.000, 0.500, 0.500) and Fe at (0.500, 0.500, 0.500).

> Which of these has the highest mass density?

number 2

> Which of these has the highest mass density?

number 2